{"formula": "PaBe2Cu", "functional": "GGA-PBE", "state": "optimized geometry", "space_group": "No. 166", "formation_energy_kj_per_mol_atoms": 4.2, "volume_a3_per_cell": 58.2, "lattice_angstrom": [[1.8714, 1.0804, 4.7994], [-1.8714, 1.0804, 4.7994], [0.0000, -2.1609, 4.7994]], "species": ["Pa", "Be", "Be", "Cu"], "fractional_positions": [[0.0000, 0.0000, 0.0000], [0.1999, 0.1999, 0.1999], [0.8001, 0.8001, 0.8001], [0.5000, 0.5000, 0.5000]]}